#one
Compound: FeCuSnW
Source: OQMD via LeMat-Bulk
Functional: PBE
Structure: relaxed

a b c (Å): 4.4224 4.4224 4.4224
angles (deg): 60.00 60.00 60.00
Positions (direct):
Fe: 0.0000 0.0000 0.0000
Cu: 0.2500 0.2500 0.2500
Sn: 0.7500 0.7500 0.7500
W: 0.5000 0.5000 0.5000

=====

#two
Compound: FeCuSnW
Source: OQMD via LeMat-Bulk
Functional: PBE
Structure: relaxed

a b c (Å): 4.3513 4.3513 4.3513
angles (deg): 60.00 60.00 60.00
Positions (direct):
Fe: 0.0000 0.0000 0.0000
Cu: 0.5000 0.5000 0.5000
Sn: 0.2500 0.2500 0.2500
W: 0.7500 0.7500 0.7500

=====

Bottom line: #two, by a margin of 19.8 kJ/mol of atoms.